The following is a GGA-PBE calculation of an optimized crystal structure of BeSi3, from the Alexandria database.

Cell: 4.200 4.200 4.200 Å, 60.00 60.00 60.00°
Positions (direct):
Be 0.000 0.000 0.000
Si 0.250 0.250 0.250
Si 0.500 0.500 0.500
Si 0.750 0.750 0.750

Calculated values
polymorph energy (0 for the lowest one)	0.211	eV per atom
formation energy from raw total energies	52.79	kJ/mol of atoms
magnetization	0.00	μB/f.u.
raw total energy	-17.8	eV per cell